# SbIr2Pt (GGA-PBE, relaxed)
# - energy relative to the elements, uncorrected (eV per atom) = 0.17
# - final energy (eV for the cell shown) = -54.43
data_SbIr2Pt
_chemical_formula_sum 'Sb2 Ir4 Pt2'
_space_group_name_H-M_alt 'C 1 2/m 1'
_space_group_IT_number 12
_space_group_name_Hall '-C 2y'
_cell_length_a 8.637
_cell_length_b 3.459
_cell_length_c 4.708
_cell_angle_alpha 90.00
_cell_angle_beta 106.56
_cell_angle_gamma 90.00
loop_
_atom_site_label
_atom_site_type_symbol
_atom_site_fract_x
_atom_site_fract_y
_atom_site_fract_z
Sb1 Sb 0.000 0.000 0.000
Ir1 Ir 0.248 0.500 0.270
Pt1 Pt 0.000 0.500 0.500